A plane-wave DFT calculation with PBE-GGA was carried out for a relaxed structure of Pm2NdTa.

Calculated values
VASP energy: -5.861 eV per atom
DOS at the Fermi energy: 6.9 states/eV per cell
Formation enthalpy at 0 K: 2.68 eV/f.u.
SG: R-3m (166)
Theoretical density: 8.812 Mg/m³

a b c (Å): 3.320 3.320 12.294
angles (deg): 82.24 82.24 60.00
Atoms (fractional coordinates):
Pm 0.080 0.080 0.759
Pm 0.920 0.920 0.241
Nd 0.500 0.500 0.500
Ta 0.000 0.000 0.000